A relaxed Pa2TlCu2S6 crystal, computed with GGA-PBE.

It has space group P-1 (No. 2), with a = 7.143 Å, b = 7.303 Å, c = 7.373 Å, α = 90.59°, β = 118.07° and γ = 118.67°. Symmetry generates all atoms from Pa at (0.160, 0.330, 0.490), Tl at (0.500, 0.000, 0.500), Cu at (0.372, 0.319, 0.065), S at (0.048, 0.081, 0.741), S at (0.275, 0.685, 0.740) and S at (0.351, 0.542, 0.258).

The calculation puts the energy at -5.98 eV/atom. Its formation energy (no corrections) is -1.041 eV/atom. Its crystal system is triclinic.